Entry one
Below is a geometry-optimized Tl3PtI structure, with properties calculated at the PBE level.

The structure in CIF format:
```
data_Tl3PtI
_chemical_formula_sum 'Tl3 Pt1 I1'
_cell_length_a 7.034
_cell_length_b 7.034
_cell_length_c 7.034
_cell_angle_alpha 63.57
_cell_angle_beta 63.57
_cell_angle_gamma 63.57
_space_group_name_H-M_alt 'P 1'
_space_group_IT_number 1
_space_group_name_Hall 'P 1'
loop_
_atom_site_label
_atom_site_type_symbol
_atom_site_fract_x
_atom_site_fract_y
_atom_site_fract_z
Tl1 Tl 0.340 0.814 0.814
Tl2 Tl 0.814 0.340 0.814
Tl3 Tl 0.814 0.814 0.340
I1 I 0.828 0.828 0.828
Pt1 Pt 0.079 0.079 0.079
```

***

Entry two
Below is a geometry-optimized Tl3PtI structure, with properties calculated at the PBE level.

The structure in CIF format:
```
data_Tl3PtI
_chemical_formula_sum 'Tl6 Pt2 I2'
_cell_length_a 8.052
_cell_length_b 8.052
_cell_length_c 8.052
_cell_angle_alpha 55.78
_cell_angle_beta 55.78
_cell_angle_gamma 55.78
_space_group_name_H-M_alt 'P 1'
_space_group_IT_number 1
_space_group_name_Hall 'P 1'
loop_
_atom_site_label
_atom_site_type_symbol
_atom_site_fract_x
_atom_site_fract_y
_atom_site_fract_z
Tl1 Tl 0.581 0.096 0.594
Tl2 Tl 0.406 0.419 0.904
Tl3 Tl 0.594 0.581 0.096
Tl4 Tl 0.096 0.594 0.581
Tl5 Tl 0.419 0.904 0.406
Tl6 Tl 0.904 0.406 0.419
Pt1 Pt 0.671 0.671 0.671
Pt2 Pt 0.329 0.329 0.329
I1 I 0.100 0.100 0.100
I2 I 0.900 0.900 0.900
```

***

Of them, entry one has the lowest stability.

***

Entry one
Below is a geometry-optimized Tl3PtI structure, with properties calculated at the PBE level.

The structure in CIF format:
```
data_Tl3PtI
_chemical_formula_sum 'Tl3 Pt1 I1'
_cell_length_a 4.809
_cell_length_b 4.809
_cell_length_c 8.466
_cell_angle_alpha 90.00
_cell_angle_beta 90.00
_cell_angle_gamma 90.00
_space_group_name_H-M_alt 'P 1'
_space_group_IT_number 1
_space_group_name_Hall 'P 1'
loop_
_atom_site_label
_atom_site_type_symbol
_atom_site_fract_x
_atom_site_fract_y
_atom_site_fract_z
Tl1 Tl 0.000 0.000 0.737
Tl2 Tl 0.500 0.000 0.412
Tl3 Tl 0.000 0.500 0.412
I1 I 0.000 0.000 0.111
Pt1 Pt 0.500 0.500 0.591
```

***

Entry two
Below is a geometry-optimized Tl3PtI structure, with properties calculated at the PBE level.

The structure in CIF format:
```
data_Tl3PtI
_chemical_formula_sum 'Tl6 Pt2 I2'
_cell_length_a 7.748
_cell_length_b 7.748
_cell_length_c 6.349
_cell_angle_alpha 90.00
_cell_angle_beta 90.00
_cell_angle_gamma 123.41
_space_group_name_H-M_alt 'P 1'
_space_group_IT_number 1
_space_group_name_Hall 'P 1'
loop_
_atom_site_label
_atom_site_type_symbol
_atom_site_fract_x
_atom_site_fract_y
_atom_site_fract_z
I1 I 0.402 0.598 0.750
I2 I 0.598 0.402 0.250
Tl1 Tl 0.568 0.935 0.250
Tl2 Tl 0.935 0.568 0.750
Tl3 Tl 0.000 0.000 0.000
Tl4 Tl 0.432 0.065 0.750
Tl5 Tl 0.065 0.432 0.250
Tl6 Tl 0.000 0.000 0.500
Pt1 Pt 0.166 0.834 0.250
Pt2 Pt 0.834 0.166 0.750
```

***

Of them, entry one has the lowest stability.

***

Entry one
Below is a geometry-optimized Tl3PtI structure, with properties calculated at the PBE level.

The structure in CIF format:
```
data_Tl3PtI
_chemical_formula_sum 'Tl12 Pt4 I4'
_cell_length_a 10.198
_cell_length_b 10.198
_cell_length_c 10.198
_cell_angle_alpha 60.00
_cell_angle_beta 60.00
_cell_angle_gamma 60.00
_space_group_name_H-M_alt 'P 1'
_space_group_IT_number 1
_space_group_name_Hall 'P 1'
loop_
_atom_site_label
_atom_site_type_symbol
_atom_site_fract_x
_atom_site_fract_y
_atom_site_fract_z
Pt1 Pt 0.625 0.625 0.625
Pt2 Pt 0.625 0.625 0.125
Pt3 Pt 0.625 0.125 0.625
Pt4 Pt 0.125 0.625 0.625
Tl1 Tl 0.301 0.301 0.699
Tl2 Tl 0.949 0.551 0.551
Tl3 Tl 0.301 0.699 0.301
Tl4 Tl 0.301 0.699 0.699
Tl5 Tl 0.699 0.301 0.301
Tl6 Tl 0.551 0.551 0.949
Tl7 Tl 0.699 0.699 0.301
Tl8 Tl 0.551 0.949 0.949
Tl9 Tl 0.949 0.551 0.949
Tl10 Tl 0.949 0.949 0.551
Tl11 Tl 0.551 0.949 0.551
Tl12 Tl 0.699 0.301 0.699
I1 I 0.125 0.125 0.625
I2 I 0.625 0.125 0.125
I3 I 0.125 0.625 0.125
I4 I 0.125 0.125 0.125
```

***

Entry two
Below is a geometry-optimized Tl3PtI structure, with properties calculated at the PBE level.

The structure in CIF format:
```
data_Tl3PtI
_chemical_formula_sum 'Tl6 Pt2 I2'
_cell_length_a 5.546
_cell_length_b 5.546
_cell_length_c 13.333
_cell_angle_alpha 78.00
_cell_angle_beta 78.00
_cell_angle_gamma 90.00
_space_group_name_H-M_alt 'P 1'
_space_group_IT_number 1
_space_group_name_Hall 'P 1'
loop_
_atom_site_label
_atom_site_type_symbol
_atom_site_fract_x
_atom_site_fract_y
_atom_site_fract_z
I1 I 0.000 0.000 0.000
I2 I 0.250 0.750 0.500
Tl1 Tl 0.118 0.364 0.764
Tl2 Tl 0.334 0.334 0.333
Tl3 Tl 0.636 0.882 0.236
Tl4 Tl 0.128 0.882 0.236
Tl5 Tl 0.118 0.872 0.764
Tl6 Tl 0.666 0.666 0.667
Pt1 Pt 0.862 0.362 0.276
Pt2 Pt 0.638 0.138 0.724
```

***

Of them, entry two has the lowest stability.

***

Entry one
Below is a geometry-optimized Tl3PtI structure, with properties calculated at the PBE level.

The structure in CIF format:
```
data_Tl3PtI
_chemical_formula_sum 'Tl12 Pt4 I4'
_cell_length_a 25.733
_cell_length_b 7.018
_cell_length_c 10.013
_cell_angle_alpha 90.00
_cell_angle_beta 159.56
_cell_angle_gamma 90.00
_space_group_name_H-M_alt 'P 1'
_space_group_IT_number 1
_space_group_name_Hall 'P 1'
loop_
_atom_site_label
_atom_site_type_symbol
_atom_site_fract_x
_atom_site_fract_y
_atom_site_fract_z
I1 I 0.057 0.229 0.547
I2 I 0.443 0.729 0.953
I3 I 0.557 0.271 0.047
I4 I 0.943 0.771 0.453
Tl1 Tl 0.890 0.033 0.872
Tl2 Tl 0.610 0.533 0.628
Tl3 Tl 0.660 0.057 0.613
Tl4 Tl 0.160 0.443 0.113
Tl5 Tl 0.275 0.849 0.853
Tl6 Tl 0.340 0.943 0.387
Tl7 Tl 0.775 0.651 0.353
Tl8 Tl 0.840 0.557 0.887
Tl9 Tl 0.390 0.467 0.372
Tl10 Tl 0.725 0.151 0.147
Tl11 Tl 0.110 0.967 0.128
Tl12 Tl 0.225 0.349 0.647
Pt1 Pt 0.465 0.176 0.356
Pt2 Pt 0.035 0.676 0.144
Pt3 Pt 0.965 0.324 0.856
Pt4 Pt 0.535 0.824 0.644
```

***

Entry two
Below is a geometry-optimized Tl3PtI structure, with properties calculated at the PBE level.

The structure in CIF format:
```
data_Tl3PtI
_chemical_formula_sum 'Tl6 Pt2 I2'
_cell_length_a 4.768
_cell_length_b 4.768
_cell_length_c 19.756
_cell_angle_alpha 90.00
_cell_angle_beta 90.00
_cell_angle_gamma 120.00
_space_group_name_H-M_alt 'P 1'
_space_group_IT_number 1
_space_group_name_Hall 'P 1'
loop_
_atom_site_label
_atom_site_type_symbol
_atom_site_fract_x
_atom_site_fract_y
_atom_site_fract_z
I1 I 0.000 0.000 0.000
I2 I 0.000 0.000 0.500
Tl1 Tl 0.000 0.000 0.250
Tl2 Tl 0.667 0.333 0.109
Tl3 Tl 0.333 0.667 0.891
Tl4 Tl 0.333 0.667 0.609
Tl5 Tl 0.667 0.333 0.391
Tl6 Tl 0.000 0.000 0.750
Pt1 Pt 0.333 0.667 0.750
Pt2 Pt 0.667 0.333 0.250
```

***

Entry three
Below is a geometry-optimized Tl3PtI structure, with properties calculated at the PBE level.

The structure in CIF format:
```
data_Tl3PtI
_chemical_formula_sum 'Tl6 Pt2 I2'
_cell_length_a 21.834
_cell_length_b 11.570
_cell_length_c 11.570
_cell_angle_alpha 159.02
_cell_angle_beta 160.04
_cell_angle_gamma 19.96
_space_group_name_H-M_alt 'P 1'
_space_group_IT_number 1
_space_group_name_Hall 'P 1'
loop_
_atom_site_label
_atom_site_type_symbol
_atom_site_fract_x
_atom_site_fract_y
_atom_site_fract_z
I1 I 0.218 0.996 0.004
I2 I 0.782 0.004 0.996
Tl1 Tl 0.732 0.253 0.747
Tl2 Tl 0.338 0.508 0.492
Tl3 Tl 0.662 0.492 0.508
Tl4 Tl 0.268 0.747 0.253
Tl5 Tl 0.056 0.546 0.454
Tl6 Tl 0.944 0.454 0.546
Pt1 Pt 0.398 0.041 0.959
Pt2 Pt 0.602 0.959 0.041
```

***

Entry four
Below is a geometry-optimized Tl3PtI structure, with properties calculated at the PBE level.

The structure in CIF format:
```
data_Tl3PtI
_chemical_formula_sum 'Tl12 Pt4 I4'
_cell_length_a 21.862
_cell_length_b 7.204
_cell_length_c 8.619
_cell_angle_alpha 90.00
_cell_angle_beta 152.36
_cell_angle_gamma 90.00
_space_group_name_H-M_alt 'P 1'
_space_group_IT_number 1
_space_group_name_Hall 'P 1'
loop_
_atom_site_label
_atom_site_type_symbol
_atom_site_fract_x
_atom_site_fract_y
_atom_site_fract_z
Tl1 Tl 0.314 0.290 0.335
Tl2 Tl 0.621 0.920 0.151
Tl3 Tl 0.688 0.408 0.232
Tl4 Tl 0.312 0.592 0.768
Tl5 Tl 0.812 0.908 0.268
Tl6 Tl 0.379 0.080 0.849
Tl7 Tl 0.686 0.710 0.665
Tl8 Tl 0.188 0.092 0.732
Tl9 Tl 0.879 0.420 0.349
Tl10 Tl 0.814 0.210 0.835
Tl11 Tl 0.121 0.580 0.651
Tl12 Tl 0.186 0.790 0.165
I1 I 0.068 0.253 0.065
I2 I 0.932 0.747 0.935
I3 I 0.568 0.247 0.565
I4 I 0.432 0.753 0.435
Pt1 Pt 0.051 0.096 0.733
Pt2 Pt 0.949 0.904 0.267
Pt3 Pt 0.449 0.596 0.767
Pt4 Pt 0.551 0.404 0.233
```

***

Of them, entry two has the lowest stability.